(1)
# KGe3Pt5 | Alexandria | GGA-PBE | relaxed
# - V (Å³/cell) = 688.0
# - DFT total energy (eV/atom) = -5.475
# - spin magnetization (μB/cell) = 0.0
# - energy of formation from the pure elements (eV per formula unit) = -4.1
data_KGe3Pt5
_chemical_formula_sum 'K4 Ge12 Pt20'
_cell_length_a 4.0393
_cell_length_b 13.1596
_cell_length_c 12.9426
_cell_angle_alpha 90.00
_cell_angle_beta 90.00
_cell_angle_gamma 90.00
_space_group_name_H-M_alt 'C m c m'
_space_group_IT_number 63
_space_group_name_Hall '-C 2c 2'
loop_
_atom_site_label
_atom_site_type_symbol
_atom_site_fract_x
_atom_site_fract_y
_atom_site_fract_z
K1 K 0.0000 0.1618 0.2500
Ge1 Ge 0.0000 0.1092 0.7500
Ge2 Ge 0.0000 0.3830 0.5459
Pt1 Pt 0.0000 0.0000 0.0000
Pt2 Pt 0.0000 0.2013 0.5678
Pt3 Pt 0.0000 0.4434 0.1417

***

(2)
# La2Pm4Nd2Er | Alexandria | GGA-PBE | relaxed
# - V (Å³/cell) = 627.8
# - DFT total energy (eV/atom) = -4.762
# - spin magnetization (μB/cell) = 0.0
# - energy of formation from the pure elements (eV per formula unit) = 0.1
data_La2Pm4Nd2Er
_chemical_formula_sum 'La4 Pm8 Nd4 Er2'
_cell_length_a 19.1560
_cell_length_b 3.6986
_cell_length_c 9.8232
_cell_angle_alpha 90.00
_cell_angle_beta 115.57
_cell_angle_gamma 90.00
_space_group_name_H-M_alt 'C 1 2/m 1'
_space_group_IT_number 12
_space_group_name_Hall '-C 2y'
loop_
_atom_site_label
_atom_site_type_symbol
_atom_site_fract_x
_atom_site_fract_y
_atom_site_fract_z
La1 La 0.1647 0.0000 0.9999
Pm1 Pm 0.0188 0.0000 0.3300
Pm2 Pm 0.1851 0.5000 0.3343
Nd1 Nd 0.1470 0.5000 0.6658
Er1 Er 0.0000 0.5000 0.0000

***

(3)
# ScCuC | Alexandria | GGA-PBE | relaxed
# - V (Å³/cell) = 73.3
# - DFT total energy (eV/atom) = -6.577
# - spin magnetization (μB/cell) = 0.0
# - energy of formation from the pure elements (eV per formula unit) = -0.1
data_ScCuC
_chemical_formula_sum 'Sc2 Cu2 C2'
_cell_length_a 3.5641
_cell_length_b 3.5641
_cell_length_c 6.6611
_cell_angle_alpha 90.00
_cell_angle_beta 90.00
_cell_angle_gamma 120.00
_space_group_name_H-M_alt 'P 63 m c'
_space_group_IT_number 186
_space_group_name_Hall 'P 6c -2c'
loop_
_atom_site_label
_atom_site_type_symbol
_atom_site_fract_x
_atom_site_fract_y
_atom_site_fract_z
Sc1 Sc 0.0000 0.0000 0.0000
Cu1 Cu 0.3333 0.6667 0.2411
C1 C 0.3333 0.6667 0.6722

***

(4)
# Nd2Tl3Cd | Alexandria | GGA-PBE | relaxed
# - V (Å³/cell) = 1345.0
# - DFT total energy (eV/atom) = -3.200
# - spin magnetization (μB/cell) = 0.0
# - energy of formation from the pure elements (eV per formula unit) = -1.7
data_Nd2Tl3Cd
_chemical_formula_sum 'Nd16 Tl24 Cd8'
_cell_length_a 7.3782
_cell_length_b 10.2733
_cell_length_c 17.7444
_cell_angle_alpha 90.00
_cell_angle_beta 90.00
_cell_angle_gamma 90.00
_space_group_name_H-M_alt 'F m m m'
_space_group_IT_number 69
_space_group_name_Hall '-F 2 2'
loop_
_atom_site_label
_atom_site_type_symbol
_atom_site_fract_x
_atom_site_fract_y
_atom_site_fract_z
Nd1 Nd 0.2483 0.0000 0.0000
Nd2 Nd 0.2500 0.2500 0.2500
Tl1 Tl 0.0000 0.0000 0.1696
Tl2 Tl 0.0000 0.2459 0.4151
Cd1 Cd 0.0000 0.0000 0.3334

***

(5)
# Ba2Ag5Sn3 | Alexandria | GGA-PBE | relaxed
# - V (Å³/cell) = 278.8
# - DFT total energy (eV/atom) = -3.279
# - offset from the most stable computed form (meV/atom) = 57
# - spin magnetization (μB/cell) = 0.0
# - energy of formation from the pure elements (eV per formula unit) = -2.7
data_Ba2Ag5Sn3
_chemical_formula_sum 'Ba2 Ag5 Sn3'
_cell_length_a 4.9932
_cell_length_b 4.9932
_cell_length_c 11.1804
_cell_angle_alpha 90.00
_cell_angle_beta 90.00
_cell_angle_gamma 90.00
_space_group_name_H-M_alt 'P -4 m 2'
_space_group_IT_number 115
_space_group_name_Hall 'P -4 -2'
loop_
_atom_site_label
_atom_site_type_symbol
_atom_site_fract_x
_atom_site_fract_y
_atom_site_fract_z
Ba1 Ba 0.0000 0.5000 0.2368
Ag1 Ag 0.0000 0.0000 0.0000
Ag2 Ag 0.0000 0.0000 0.5000
Ag3 Ag 0.0000 0.5000 0.8901
Ag4 Ag 0.5000 0.5000 0.0000
Sn1 Sn 0.0000 0.5000 0.6441
Sn2 Sn 0.5000 0.5000 0.5000

***

(6)
# MgCoIr2 | Alexandria | GGA-PBE | relaxed
# - V (Å³/cell) = 112.6
# - DFT total energy (eV/atom) = -6.672
# - spin magnetization (μB/cell) = 2.2
# - energy of formation from the pure elements (eV per formula unit) = -0.3
data_MgCoIr2
_chemical_formula_sum 'Mg2 Co2 Ir4'
_cell_length_a 9.0765
_cell_length_b 2.7621
_cell_length_c 4.5703
_cell_angle_alpha 90.00
_cell_angle_beta 100.73
_cell_angle_gamma 90.00
_space_group_name_H-M_alt 'C 1 m 1'
_space_group_IT_number 8
_space_group_name_Hall 'C -2y'
loop_
_atom_site_label
_atom_site_type_symbol
_atom_site_fract_x
_atom_site_fract_y
_atom_site_fract_z
Mg1 Mg 0.0000 0.0000 0.0000
Co1 Co 0.2417 0.0000 0.7668
Ir1 Ir 0.0046 0.5000 0.5051
Ir2 Ir 0.2602 0.5000 0.2922